(1)
CsAlTe2 | PBE | relaxed

Fermi-level density of states, states/eV/cell: 0.00
Symmetry: P1, No. 1
Uncorrected formation energy, meV/atom: -833

a = 6.778 Å, b = 8.206 Å, c = 8.210 Å
α = 118.82°, β = 82.97°, γ = 96.66°
Element x y z (fractional)
Te: 0.455 0.580 0.026
Te: 0.511 0.125 0.147
Te: 0.955 0.926 0.353
Te: 0.016 0.794 0.805
Al: 0.734 0.849 0.075
Al: 0.235 0.846 0.073
Cs: 0.443 0.061 0.627
Cs: 0.019 0.402 0.286

***

(2)
CsAlTe | PBE | relaxed

Fermi-level density of states, states/eV/cell: 0.53
Relative energy among the computed polymorphs, eV per formula unit: 0.07
Symmetry: P-1, No. 2
Uncorrected formation energy, meV/atom: -505

a = 5.624 Å, b = 6.869 Å, c = 8.129 Å
α = 104.03°, β = 96.52°, γ = 104.75°
Element x y z (fractional)
Cs: 0.754 0.649 0.260
Cs: 0.246 0.351 0.740
Te: 0.112 0.224 0.232
Te: 0.888 0.776 0.768
Al: 0.717 0.073 0.961
Al: 0.283 0.927 0.039

***

(3)
Cs3AlTe4 | PBE | relaxed

Fermi-level density of states, states/eV/cell: 4.48
Symmetry: Imm2, No. 44
Uncorrected formation energy, meV/atom: -829

a = 6.176 Å, b = 8.199 Å, c = 9.574 Å
α = 115.35°, β = 108.82°, γ = 90.00°
Element x y z (fractional)
Te: 0.756 0.724 0.000
Te: 0.360 0.165 0.721
Te: 0.244 0.724 0.000
Te: 0.640 0.444 0.279
Al: 0.500 0.458 0.000
Cs: 0.286 0.621 0.571
Cs: 0.000 0.164 0.000
Cs: 0.714 0.050 0.429

***

(4)
CsAlTe2 | PBE | relaxed

Fermi-level density of states, states/eV/cell: 0.00
Symmetry: Pnma, No. 62
Uncorrected formation energy, meV/atom: -682

a = 7.831 Å, b = 4.048 Å, c = 20.404 Å
α = 90.00°, β = 90.00°, γ = 90.00°
Element x y z (fractional)
Te: 0.949 0.750 0.162
Te: 0.268 0.750 0.507
Te: 0.732 0.250 0.493
Te: 0.449 0.750 0.338
Te: 0.232 0.250 0.007
Te: 0.051 0.250 0.838
Te: 0.551 0.250 0.662
Te: 0.768 0.750 0.993
Cs: 0.445 0.750 0.149
Cs: 0.055 0.250 0.649
Cs: 0.945 0.750 0.351
Cs: 0.555 0.250 0.851
Al: 0.434 0.250 0.428
Al: 0.066 0.750 0.928
Al: 0.566 0.750 0.572
Al: 0.934 0.250 0.072

***

(5)
CsAlTe | PBE | relaxed

Relative energy among the computed polymorphs, eV per formula unit: 0.46
Symmetry: P3m1, No. 156
Uncorrected formation energy, meV/atom: -377

a = 4.482 Å, b = 4.482 Å, c = 7.058 Å
α = 90.00°, β = 90.00°, γ = 120.00°
Element x y z (fractional)
Al: 0.000 0.000 0.417
Te: 0.667 0.333 0.225
Cs: 0.333 0.667 0.824

***

(6)
CsAlTe2 | PBE | relaxed

Fermi-level density of states, states/eV/cell: 0.00
Symmetry: P4_2/m, No. 84
Uncorrected formation energy, meV/atom: -827

a = 6.558 Å, b = 8.366 Å, c = 8.365 Å
α = 90.02°, β = 90.00°, γ = 89.99°
Element x y z (fractional)
Al: 0.057 0.760 0.289
Al: 0.557 0.760 0.289
Te: 0.807 0.854 0.519
Te: 0.306 0.991 0.195
Te: 0.307 0.530 0.382
Te: 0.807 0.667 0.058
Cs: 0.307 0.761 0.789
Cs: 0.807 0.260 0.288

***

(7)
CsAlTe | PBE | relaxed

Relative energy among the computed polymorphs, eV per formula unit: 0.21
Symmetry: Cm, No. 8
Uncorrected formation energy, meV/atom: -460

a = 9.759 Å, b = 4.226 Å, c = 15.453 Å
α = 90.00°, β = 127.27°, γ = 90.00°
Element x y z (fractional)
Al: 0.459 0.500 0.366
Al: 0.152 0.000 0.824
Al: 0.459 0.000 0.866
Al: 0.152 0.500 0.324
Te: 0.296 0.500 0.975
Te: 0.296 0.000 0.475
Te: 0.670 0.500 0.910
Te: 0.670 0.000 0.410
Cs: 0.721 0.000 0.179
Cs: 0.102 0.500 0.588
Cs: 0.102 0.000 0.088
Cs: 0.721 0.500 0.679

***

(8)
CsAlTe | PBE | relaxed

Fermi-level density of states, states/eV/cell: 0.00
Relative energy among the computed polymorphs, eV per formula unit: 0.00
Symmetry: P1, No. 1
Uncorrected formation energy, meV/atom: -529

a = 5.147 Å, b = 7.523 Å, c = 7.966 Å
α = 108.19°, β = 90.97°, γ = 108.87°
Element x y z (fractional)
Al: 0.904 0.947 0.234
Al: 0.408 0.951 0.242
Te: 0.647 0.904 0.530
Te: 0.998 0.615 0.025
Cs: 0.950 0.491 0.480
Cs: 0.288 0.177 0.889